# Na2TlVF6 GGA+U optimized geometry
data_Na2TlVF6
_chemical_formula_sum 'Na8 Tl4 V4 F24'
_symmetry_space_group_name_H-M 'F m -3 m'
_symmetry_Int_Tables_number 225
_symmetry_space_group_name_Hall '-F 4 2 3'
_cell_length_a 9.079
_cell_length_b 9.079
_cell_length_c 9.079
_cell_angle_alpha 90.00
_cell_angle_beta 90.00
_cell_angle_gamma 90.00
loop_
_atom_site_label
_atom_site_fract_x
_atom_site_fract_y
_atom_site_fract_z
Na1 0.250 0.250 0.250
Tl1 0.000 0.000 0.000
V1 0.000 0.000 0.500
F1 0.000 0.000 0.283
# calculated volume: 748.3 Å³ per cell
# M_tot: 8.00 Bohr magnetons per cell
# density: 3.69 Mg/m³
# energy relative to the lowest polymorph listed for this composition: 260 meV/atom